Ca2PmWO6 after structural relaxation. Source: Alexandria, functional PBE with a Hubbard U.

## Properties
The crystal system is triclinic. The value obtained for the mass density is 5.820 g cm⁻³. For the calculated total energy, the calculation gives -73.9 eV per cell.

abc: 5.757 5.783 5.978
angles: 118.26 90.65 119.74
Atoms (fractional coordinates):
Ca1 0.000 0.000 0.000
Ca2 0.496 0.999 0.515
Pm1 0.721 0.446 0.176
W1 0.211 0.430 0.648
O1 0.091 0.963 0.390
O2 0.330 0.893 0.855
O3 0.403 0.509 0.377
O4 0.543 0.518 0.850
O5 0.864 0.279 0.391
O6 0.950 0.298 0.857